No. 1
A relaxed structure of Pr5DyHo2Tm. Source: Alexandria via LeMat-Bulk, functional PBE.

```
Pr5DyHo2Tm
1.0
2.821 -10.298 0.000
2.821 10.298 0.000
0.000 0.000 10.750
Pr Dy Ho Tm
10 2 4 2
direct
0.014 0.986 0.500
0.118 0.882 0.774
0.204 0.796 0.462
0.221 0.779 0.068
0.485 0.515 0.769
0.515 0.485 0.269
0.779 0.221 0.568
0.796 0.204 0.962
0.882 0.118 0.274
0.986 0.014 0.000
0.302 0.698 0.766
0.698 0.302 0.266
0.387 0.613 0.058
0.387 0.613 0.495
0.613 0.387 0.558
0.613 0.387 0.995
0.094 0.906 0.223
0.906 0.094 0.723
```

## Properties
The energy is -81.7 eV for the cell shown. The calculation puts the volume at 625 Å³/cell. Its symmetry is No. 36.


No. 2
A relaxed structure of Pr2DyHoTm. Source: Alexandria via LeMat-Bulk, functional PBE.

```
Pr2DyHoTm
1.0
4.238 -5.752 0.000
4.238 5.752 0.000
0.000 0.000 7.323
Pr Dy Ho Tm
4 2 2 2
direct
0.195 0.195 0.000
0.195 0.195 0.500
0.805 0.805 0.000
0.805 0.805 0.500
0.225 0.775 0.750
0.775 0.225 0.250
0.231 0.769 0.250
0.769 0.231 0.750
0.495 0.505 0.750
0.505 0.495 0.250
```

## Properties
The energy is -42.2 eV for the cell shown. The calculation puts the volume at 357 Å³/cell. Its symmetry is No. 63.


No. 3
A relaxed structure of Pr2Dy3Ho6Tm. Source: Alexandria via LeMat-Bulk, functional PBE.

```
Pr2Dy3Ho6Tm
1.0
3.080 -5.332 0.000
3.080 5.332 0.000
-2.044 0.000 11.598
Pr Dy Ho Tm
2 3 6 1
direct
0.166 0.834 0.000
0.834 0.166 0.000
0.000 0.000 0.500
0.334 0.666 0.500
0.666 0.334 0.500
0.083 0.416 0.747
0.253 0.253 0.253
0.416 0.083 0.747
0.584 0.917 0.253
0.747 0.747 0.747
0.917 0.584 0.253
0.500 0.500 0.000
```

## Properties
The energy is -55.1 eV for the cell shown. The calculation puts the volume at 381 Å³/cell. Its symmetry is No. 12.


No. 4
A relaxed structure of Pr6Dy3Ho2Tm. Source: Alexandria via LeMat-Bulk, functional PBE.

```
Pr6Dy3Ho2Tm
1.0
3.148 -5.452 0.000
3.148 5.452 0.000
-2.093 0.000 11.669
Pr Dy Ho Tm
6 3 2 1
direct
0.084 0.417 0.751
0.250 0.250 0.249
0.417 0.084 0.751
0.583 0.916 0.249
0.750 0.750 0.751
0.916 0.583 0.249
0.000 0.000 0.500
0.333 0.667 0.500
0.667 0.333 0.500
0.167 0.833 0.000
0.833 0.167 0.000
0.500 0.500 0.000
```

## Properties
The energy is -56.0 eV for the cell shown. The calculation puts the volume at 400 Å³/cell. Its symmetry is No. 12.


| no. | ΔH_f (0 K) (eV/atom) |
| --- | --- |
| 1 | 0.139 |
| 2 | 0.420 |
| 3 | 0.019 |
| 4 | 0.012 |